[1]
Material: ZrSc2Cu
Method: DFT, PBEsol
State: relaxed

Geometry as extended XYZ:
```
4
Lattice="3.171 0.000 0.000 0.000 3.171 0.000 0.000 0.000 7.940" Properties=species:S:1:pos:R:3 pbc="T T T"
Zr 0.000 0.000 0.000
Sc 0.000 0.000 3.342
Sc 1.586 1.586 5.790
Cu 1.586 1.586 1.752
```

Values from the calculation:
The value obtained for the formation energy is -73 meV per atom. As for the symmetry: No. 99. The crystal system is tetragonal.

=====

[2]
Material: Zr3ScCu
Method: DFT, PBEsol
State: relaxed

Geometry as extended XYZ:
```
5
Lattice="4.879 0.000 0.000 0.000 4.879 0.000 0.000 0.000 4.879" Properties=species:S:1:pos:R:3 pbc="T T T"
Zr 0.000 0.000 2.440
Zr 0.000 2.440 0.000
Zr 2.440 0.000 0.000
Sc 0.000 0.000 0.000
Cu 2.440 2.440 2.440
```

Values from the calculation:
The value obtained for the formation energy is 1332 meV per atom. As for the symmetry: No. 221. The crystal system is cubic.

=====

[3]
Material: Zr2ScCu2
Method: DFT, PBEsol
State: relaxed

Geometry as extended XYZ:
```
5
Lattice="-2.042 2.042 5.742 2.042 -2.042 5.742 2.042 2.042 -5.742" Properties=species:S:1:pos:R:3 pbc="T T T"
Zr 2.042 0.000 2.871
Zr 0.000 2.042 2.871
Sc 0.000 0.000 0.000
Cu 0.000 0.000 4.628
Cu 0.000 0.000 6.855
```

Values from the calculation:
The value obtained for the formation energy is 104 meV per atom. As for the symmetry: No. 139. The crystal system is tetragonal.

=====

[4]
Material: CuSe3
Method: DFT, PBEsol
State: relaxed

Geometry as extended XYZ:
```
4
Lattice="3.085 0.000 0.000 0.000 3.085 0.000 0.000 0.000 7.959" Properties=species:S:1:pos:R:3 pbc="T T T"
Cu 0.000 0.000 0.000
Se 0.000 0.000 3.980
Se 1.542 1.542 1.360
Se 1.542 1.542 6.599
```

Values from the calculation:
The value obtained for the uncorrected formation energy is 0.369 eV per atom. As for the symmetry: No. 123. The crystal system is tetragonal.

=====

[5]
Material: CuSe2
Method: DFT, PBEsol
State: relaxed

Geometry as extended XYZ:
```
6
Lattice="1.774 -3.303 0.000 1.774 3.303 0.000 0.000 0.000 9.431" Properties=species:S:1:pos:R:3 pbc="T T T"
Cu 0.000 0.000 0.000
Cu 1.774 0.000 4.715
Se 1.774 2.009 5.998
Se 1.774 1.294 1.282
Se 1.774 -1.294 8.148
Se 1.774 -2.009 3.433
```

Values from the calculation:
The value obtained for the uncorrected formation energy is -0.033 eV per atom. As for the symmetry: No. 64. The crystal system is orthorhombic.

=====

[6]
Material: Cu9Se5
Method: DFT, PBEsol
State: relaxed

Geometry as extended XYZ:
```
14
Lattice="6.367 -2.728 0.000 6.367 2.728 0.000 -6.344 0.000 6.390" Properties=species:S:1:pos:R:3 pbc="T T T"
Cu 0.000 0.000 0.000
Cu -3.899 -0.047 5.193
Cu -1.208 0.047 3.551
Cu 1.184 0.009 2.428
Cu 3.530 -0.092 1.197
Cu 2.862 -0.092 5.193
Cu 5.207 0.009 3.962
Cu 7.599 0.047 2.839
Cu 10.290 -0.047 1.197
Se -1.738 1.141 5.751
Se 3.196 1.326 3.195
Se 8.129 1.141 0.639
Se 0.670 -1.179 4.603
Se 5.722 -1.179 1.787
```

Values from the calculation:
The value obtained for the uncorrected formation energy is -0.043 eV per atom. As for the symmetry: No. 5. The crystal system is monoclinic.

=====

[7]
Material: CuSe2
Method: DFT, PBEsol
State: relaxed

Geometry as extended XYZ:
```
12
Lattice="6.037 0.000 0.000 0.000 6.037 0.000 0.000 0.000 6.037" Properties=species:S:1:pos:R:3 pbc="T T T"
Cu 0.000 0.000 0.000
Cu 0.000 3.018 3.018
Cu 3.018 0.000 3.018
Cu 3.018 3.018 0.000
Se 0.684 3.702 5.353
Se 0.684 5.353 2.334
Se 2.334 0.684 5.353
Se 2.334 2.334 2.334
Se 3.702 3.702 3.702
Se 3.702 5.353 0.684
Se 5.353 0.684 3.702
Se 5.353 2.334 0.684
```

Values from the calculation:
The value obtained for the uncorrected formation energy is -0.109 eV per atom. As for the symmetry: No. 205. The crystal system is cubic.

=====

[8]
Material: CuSe3
Method: DFT, PBEsol
State: relaxed

Geometry as extended XYZ:
```
4
Lattice="-2.650 2.650 2.650 2.650 -2.650 2.650 2.650 2.650 -2.650" Properties=species:S:1:pos:R:3 pbc="T T T"
Cu 0.000 0.000 0.000
Se 2.650 0.000 0.000
Se 0.000 2.650 0.000
Se 0.000 0.000 2.650
```

Values from the calculation:
The value obtained for the uncorrected formation energy is 0.020 eV per atom. As for the symmetry: No. 229. The crystal system is cubic.

=====

Density of states at the Fermi level? In order: 3.87; 6.42; 7.22; 1.72; 3.42; 5.86; 7.68; 2.90 states/eV per cell.
Mass density? In order: 5.1; 5.5; 6.1; 6.6; 6.7; 7.2; 6.7; 6.7 g/cm3.